This record from the Alexandria database describes a relaxed structure of Si2AgSe4. The functional is GGA-PBE.

Unit cell a=6.275 b=6.275 c=6.275 alpha=103.82 beta=103.82 gamma=121.49
Atoms (fractional coordinates):
1 Si 0.750 0.250 0.500
2 Si 0.250 0.750 0.500
3 Se 0.659 0.826 0.485
4 Se 0.341 0.174 0.515
5 Se 0.174 0.659 0.833
6 Se 0.826 0.341 0.167
7 Ag 0.500 0.500 0.000

Energy relative to the elements, uncorrected in eV/f.u.: -1.28
Crystal system: tetragonal
Energy above the most stable polymorph in this dataset in eV/f.u.: 0.027

This record from the Alexandria database describes a relaxed structure of Si2AgSe. The functional is GGA-PBE.

Unit cell a=3.218 b=3.218 c=6.797 alpha=90.00 beta=90.00 gamma=90.00
Atoms (fractional coordinates):
1 Se 0.500 0.500 0.750
2 Si 0.000 0.000 0.994
3 Si 0.000 0.000 0.506
4 Ag 0.500 0.500 0.250

Energy relative to the elements, uncorrected in eV/f.u.: 2.00
Crystal system: tetragonal

> The highest energy relative to the elements, uncorrected belongs to which entry?

Si2AgSe